Record 1
In6Bi2Pb5 after structural relaxation, computed with PBE.

Computed properties:
The energy comes out at -3.2638 eV/atom. Its volume is 390 Å³ per cell. The value obtained for the formation energy is 0.3 eV per formula unit.

Unit cell a=6.1317 b=7.9084 c=9.0458 alpha=115.24 beta=90.16 gamma=99.72
With the nearest neighbours (Å) after each atom.
Space group P-1 (No. 2)
Unique sites:
In1 0.0388 0.2305 0.1517 (multiplicity 2)  5 In 3.39-3.62, 6 Pb 3.42-3.58, 1 Bi 3.46
In2 0.1905 0.1531 0.7719 (multiplicity 2)  3 In 3.39-3.51, 3 Bi 3.41-3.65, 6 Pb 3.45-3.60
In3 0.4276 0.5392 0.6926 (multiplicity 2)  4 In 3.42-3.62, 6 Pb 3.44-3.58, 2 Bi 3.45-3.46
Bi1 0.3386 0.0799 0.3824 (multiplicity 2)  6 In 3.41-3.65, 5 Pb 3.42-3.52, 1 Bi 3.63
Pb1 0.1144 0.6936 0.4645 (multiplicity 2)  7 In 3.42-3.58, 2 Pb 3.46, 3 Bi 3.49-3.52
Pb2 0.2719 0.6132 0.0770 (multiplicity 2)  7 In 3.44-3.60, 4 Pb 3.46-3.54, 1 Bi 3.49
Pb3 0.5000 0.0000 0.0000 (multiplicity 1)  2 Bi 3.42, 8 In 3.45-3.58, 2 Pb 3.49

=====

Record 2
Th4SiBi2Se after structural relaxation, computed with PBE.

Computed properties:
The energy comes out at -6.6816 eV/atom. Its volume is 244 Å³ per cell. The formation energy (no corrections) comes out at -0.888 eV/atom.

Unit cell a=7.5546 b=4.3800 c=7.7982 alpha=90.00 beta=109.04 gamma=90.00
With the nearest neighbours (Å) after each atom.
Space group P2/m (No. 10)
Unique sites:
Th1 0.2314 0.0000 0.2144 (multiplicity 2)  2 Si 2.96, 1 Se 3.02, 3 Bi 3.25-3.31
Th2 0.2537 0.5000 0.7836 (multiplicity 2)  1 Si 2.94, 2 Se 3.01, 2 Bi 3.26
Si1 0.0000 0.5000 0.0000 (multiplicity 1)  6 Th 2.94-2.96
Bi1 0.0000 0.0000 0.5000 (multiplicity 1)  6 Th 3.25-3.26
Bi2 0.5000 0.5000 0.5000 (multiplicity 1)  6 Th 3.31-3.32
Se1 0.5000 0.0000 0.0000 (multiplicity 1)  6 Th 3.01-3.02

=====

Record 3
CeDy2Pt9 after structural relaxation, computed with PBE.

Computed properties:
The energy comes out at -6.7482 eV/atom. Its volume is 676 Å³ per cell. The value obtained for the formation energy is -11.5 eV per formula unit.

Unit cell a=5.4177 b=5.4177 c=26.6122 alpha=90.00 beta=90.00 gamma=120.00
With the nearest neighbours (Å) after each atom.
Space group R-3m (No. 166, hexagonal axes)
Unique sites:
Ce1 0.0000 0.0000 0.0000 (multiplicity 3)  6 Pt 3.13
Dy1 0.0000 0.0000 0.1400 (multiplicity 6)  12 Pt 3.07-3.25, 3 Dy 3.44
Pt1 0.0000 0.0000 0.3331 (multiplicity 6)  6 Pt 2.75-2.78
Pt2 0.0000 0.0000 0.5000 (multiplicity 3)  6 Pt 2.67
Pt3 0.0045 0.5022 0.9143 (multiplicity 18)  7 Pt 2.67-2.78

=====

Record 4
TeAsIN2 after structural relaxation, computed with PBE.

Computed properties:
The energy comes out at -3.4015 eV/atom. Its volume is 126 Å³ per cell. The formation energy (no corrections) comes out at 1.797 eV/atom. The value obtained for the energy above the most stable polymorph in this dataset is 26.6 kJ/mol of atoms.

Unit cell a=3.9919 b=3.9919 c=7.8962 alpha=90.00 beta=90.00 gamma=90.00
With the nearest neighbours (Å) after each atom.
Space group P4/mmm (No. 123)
Unique sites:
Te1 0.0000 0.0000 0.0000 (multiplicity 1)  4 As 2.82
As1 0.5000 0.5000 0.0000 (multiplicity 1)  4 Te 2.82
I1 0.0000 0.0000 0.5000 (multiplicity 1)  4 N 2.00
N1 0.0000 0.5000 0.5000 (multiplicity 2)  2 I 2.00

=====

Record 5
MnCo2PtN after structural relaxation, computed with PBE.

Computed properties:
The energy comes out at -7.7156 eV/atom. Its volume is 57 Å³ per cell. The formation energy (no corrections) comes out at -0.166 eV/atom.

Unit cell a=3.7999 b=3.7999 c=3.9522 alpha=90.00 beta=90.00 gamma=90.00
With the nearest neighbours (Å) after each atom.
Space group P4/mmm (No. 123)
Unique sites:
Mn1 0.0000 0.0000 0.0000 (multiplicity 1)  2 N 1.98
Co1 0.0000 0.5000 0.5000 (multiplicity 2)  2 N 1.90
Pt1 0.5000 0.5000 0.0000 (multiplicity 1)  4 Mn 2.69, 8 Co 2.74
N1 0.0000 0.0000 0.5000 (multiplicity 1)  4 Co 1.90, 2 Mn 1.98

=====

Record 6
CoReCl2 after structural relaxation, computed with PBE.

Computed properties:
The energy comes out at -5.4599 eV/atom. Its volume is 147 Å³ per cell. The formation energy (no corrections) comes out at 0.352 eV/atom. The value obtained for the energy above the most stable polymorph in this dataset is 25.0 kJ/mol of atoms.

Unit cell a=2.9365 b=5.3284 c=9.3921 alpha=90.00 beta=90.00 gamma=90.00
With the nearest neighbours (Å) after each atom.
Space group Cmm2 (No. 35)
Unique sites:
Co1 0.0000 0.0000 0.0000 (multiplicity 2)  2 Cl 2.27, 2 Re 2.51
Re1 0.0000 0.5000 0.2173 (multiplicity 2)  2 Cl 2.43, 2 Co 2.51
Cl1 0.0000 0.0000 0.4236 (multiplicity 2)  2 Re 2.43
Cl2 0.0000 0.5000 0.8161 (multiplicity 2)  2 Co 2.27